PBE Li3PrNi8, optimized geometry; uncorrected energy = -4.86 eV/atom; DOS at the Fermi energy = 0.8620 states/eV/atom
1.0
4.853 0.000 0.000
2.426 4.202 0.000
2.426 1.401 7.959
Ni Li Pr
8 3 1
direct
0.937 0.432 0.694
0.441 0.441 0.174
0.187 0.187 0.439
0.432 0.937 0.694
0.944 0.441 0.174
0.937 0.937 0.694
0.689 0.689 0.934
0.441 0.944 0.174
0.486 0.486 0.541
0.374 0.374 0.878
0.007 0.007 0.980
0.876 0.876 0.373